No. 1
# Pr4Sm5Dy2, relaxed, DFT GGA-PBE
# D(E_F): 15.7 states/eV/f.u.
# Energy relative to the lowest polymorph listed for this composition: 151 meV per atom
# Spin magnetization: 0.00 μB per cell
# Formation energy from the elements: 24 kJ per mole of atoms
data_Pr4Sm5Dy2
_chemical_formula_sum 'Pr8 Sm10 Dy4'
_cell_length_a 3.542
_cell_length_b 9.459
_cell_length_c 23.297
_cell_angle_alpha 90.00
_cell_angle_beta 90.00
_cell_angle_gamma 90.00
_space_group_name_H-M_alt 'I m m m'
_space_group_IT_number 71
_space_group_name_Hall '-I 2 2'
loop_
_atom_site_label
_atom_site_fract_x
_atom_site_fract_y
_atom_site_fract_z
Pr1 0.000 0.000 0.096
Pr2 0.000 0.294 0.500
Sm1 0.000 0.203 0.350
Sm2 0.000 0.500 0.000
Dy1 0.000 0.000 0.230

***

No. 2
# TbTi, relaxed, DFT GGA-PBE
# D(E_F): 3.0 states/eV/f.u.
# Spin magnetization: 0.00 μB per cell
# Formation energy from the elements: 28 kJ per mole of atoms
data_TbTi
_chemical_formula_sum 'Tb2 Ti2'
_cell_length_a 3.225
_cell_length_b 5.086
_cell_length_c 5.827
_cell_angle_alpha 90.00
_cell_angle_beta 90.00
_cell_angle_gamma 90.00
_space_group_name_H-M_alt 'P m m n'
_space_group_IT_number 59
loop_
_space_group_symop_operation_xyz
'x,y,z'
'-x,-y,-z'
'-x+1/2,-y+1/2,z'
'x+1/2,y+1/2,-z'
'x+1/2,-y,-z'
'-x+1/2,y,z'
'-x,y+1/2,-z'
'x,-y+1/2,z'
loop_
_atom_site_label
_atom_site_fract_x
_atom_site_fract_y
_atom_site_fract_z
Tb1 0.250 0.250 0.113
Ti1 0.250 0.750 0.429

***

No. 3
# ScCuSbI2, relaxed, DFT GGA-PBE
# D(E_F): 3.7 states/eV/f.u.
# Energy relative to the lowest polymorph listed for this composition: 84 meV per atom
# Spin magnetization: 0.00 μB per cell
# E_form (uncorrected): 0.2389 eV per atom
data_ScCuSbI2
_chemical_formula_sum 'Sc1 Cu1 Sb1 I2'
_cell_length_a 5.237
_cell_length_b 5.237
_cell_length_c 5.329
_cell_angle_alpha 90.00
_cell_angle_beta 90.00
_cell_angle_gamma 90.00
_space_group_name_H-M_alt 'P 4/m m m'
_space_group_IT_number 123
_space_group_name_Hall '-P 4 2'
loop_
_atom_site_label
_atom_site_fract_x
_atom_site_fract_y
_atom_site_fract_z
Sc1 0.000 0.000 0.000
Cu1 0.500 0.500 0.500
Sb1 0.500 0.500 0.000
I1 0.000 0.500 0.500

***

No. 4
# Tl16ZnCd12, relaxed, DFT GGA-PBE
# D(E_F): 8.3 states/eV/f.u.
# Spin magnetization: 0.00 μB per cell
# Formation energy from the elements: 3 kJ per mole of atoms
data_Tl16ZnCd12
_chemical_formula_sum 'Tl32 Zn2 Cd24'
_cell_length_a 11.683
_cell_length_b 16.471
_cell_length_c 10.117
_cell_angle_alpha 90.00
_cell_angle_beta 125.07
_cell_angle_gamma 90.00
_space_group_name_H-M_alt 'C 1 m 1'
_space_group_IT_number 8
_space_group_name_Hall 'C -2y'
loop_
_atom_site_label
_atom_site_fract_x
_atom_site_fract_y
_atom_site_fract_z
Tl1 0.000 0.000 0.000
Tl2 0.002 0.321 0.301
Tl3 0.027 0.341 0.705
Tl4 0.062 0.000 0.650
Tl5 0.133 0.156 0.906
Tl6 0.185 0.500 0.307
Tl7 0.191 0.500 0.953
Tl8 0.201 0.194 0.616
Tl9 0.224 0.128 0.312
Tl10 0.385 0.301 0.980
Zn1 0.313 0.000 0.615
Cd1 0.181 0.312 0.120
Cd2 0.273 0.407 0.658
Cd3 0.331 0.000 0.129
Cd4 0.366 0.314 0.486
Cd5 0.416 0.091 0.930
Cd6 0.455 0.410 0.298
Cd7 0.493 0.000 0.496

***

No. 5
# BeAlTe4, relaxed, DFT GGA-PBE
# D(E_F): 4.6 states/eV/f.u.
# Spin magnetization: 0.00 μB per cell
# E_form (uncorrected): 0.8209 eV per atom
data_BeAlTe4
_chemical_formula_sum 'Be4 Al4 Te16'
_cell_length_a 9.009
_cell_length_b 9.009
_cell_length_c 9.009
_cell_angle_alpha 90.00
_cell_angle_beta 90.00
_cell_angle_gamma 90.00
_space_group_name_H-M_alt 'F -4 3 m'
_space_group_IT_number 216
_space_group_name_Hall 'F -4 2 3'
loop_
_atom_site_label
_atom_site_fract_x
_atom_site_fract_y
_atom_site_fract_z
Be1 0.000 0.000 0.000
Al1 0.250 0.250 0.250
Te1 0.126 0.126 0.626

***

No. 6
# TiMn2As2, relaxed, DFT GGA-PBE
# D(E_F): 2.4 states/eV/f.u.
# Spin magnetization: 11.75 μB per cell
# Formation energy from the elements: -26 kJ per mole of atoms
data_TiMn2As2
_chemical_formula_sum 'Ti2 Mn4 As4'
_cell_length_a 6.903
_cell_length_b 6.903
_cell_length_c 3.207
_cell_angle_alpha 90.00
_cell_angle_beta 90.00
_cell_angle_gamma 90.00
_space_group_name_H-M_alt 'P 4/m b m'
_space_group_IT_number 127
_space_group_name_Hall '-P 4 2ab'
loop_
_atom_site_label
_atom_site_fract_x
_atom_site_fract_y
_atom_site_fract_z
Ti1 0.000 0.000 0.000
Mn1 0.142 0.358 0.500
As1 0.154 0.654 0.000

***

No. 7
# Th3Sn4, relaxed, DFT GGA-PBE
# D(E_F): 7.7 states/eV/f.u.
# Energy relative to the lowest polymorph listed for this composition: 113 meV per atom
# Spin magnetization: 0.00 μB per cell
# Formation energy from the elements: -42 kJ per mole of atoms
data_Th3Sn4
_chemical_formula_sum 'Th12 Sn16'
_cell_length_a 9.455
_cell_length_b 9.455
_cell_length_c 9.455
_cell_angle_alpha 90.00
_cell_angle_beta 90.00
_cell_angle_gamma 90.00
_space_group_name_H-M_alt 'I -4 3 d'
_space_group_IT_number 220
_space_group_name_Hall 'I -4bd 2c 3'
loop_
_atom_site_label
_atom_site_fract_x
_atom_site_fract_y
_atom_site_fract_z
Th1 0.000 0.250 0.875
Sn1 0.081 0.419 0.581

***

No. 8
# Pm2Hg3, relaxed, DFT GGA-PBE
# D(E_F): 4.5 states/eV/f.u.
# Spin magnetization: 0.00 μB per cell
# Formation energy from the elements: -27 kJ per mole of atoms
data_Pm2Hg3
_chemical_formula_sum 'Pm8 Hg12'
_cell_length_a 7.202
_cell_length_b 12.747
_cell_length_c 6.350
_cell_angle_alpha 90.00
_cell_angle_beta 90.00
_cell_angle_gamma 90.00
_space_group_name_H-M_alt 'I b a m'
_space_group_IT_number 72
_space_group_name_Hall '-I 2 2c'
loop_
_atom_site_label
_atom_site_fract_x
_atom_site_fract_y
_atom_site_fract_z
Pm1 0.238 0.159 0.000
Hg1 0.000 0.500 0.250
Hg2 0.175 0.101 0.500

***

No. 9
# Na2BSe2, relaxed, DFT GGA-PBE
# D(E_F): 1.6 states/eV/f.u.
# Energy relative to the lowest polymorph listed for this composition: 662 meV per atom
# Spin magnetization: 0.00 μB per cell
# E_form (uncorrected): 0.3720 eV per atom
data_Na2BSe2
_chemical_formula_sum 'Na4 B2 Se4'
_cell_length_a 8.410
_cell_length_b 8.410
_cell_length_c 3.047
_cell_angle_alpha 90.00
_cell_angle_beta 90.00
_cell_angle_gamma 90.00
_space_group_name_H-M_alt 'P 4/m b m'
_space_group_IT_number 127
_space_group_name_Hall '-P 4 2ab'
loop_
_atom_site_label
_atom_site_fract_x
_atom_site_fract_y
_atom_site_fract_z
Na1 0.128 0.372 0.000
B1 0.000 0.000 0.000
Se1 0.174 0.674 0.500

***

No. 10
# MnPb3I8, relaxed, DFT GGA-PBE
# D(E_F): 0.0 states/eV/f.u.
# Spin magnetization: 9.99 μB per cell
# E_form (uncorrected): -0.5706 eV per atom
data_MnPb3I8
_chemical_formula_sum 'Mn2 Pb6 I16'
_cell_length_a 9.2882
_cell_length_b 9.2882
_cell_length_c 14.0292
_cell_angle_alpha 90.00
_cell_angle_beta 90.00
_cell_angle_gamma 120.00
_space_group_name_H-M_alt 'P 63 m c'
_space_group_IT_number 186
_space_group_name_Hall 'P 6c -2c'
loop_
_atom_site_label
_atom_site_fract_x
_atom_site_fract_y
_atom_site_fract_z
Mn1 0.3333 0.6667 0.0000
Pb1 0.1691 0.3382 0.7376
I1 0.0000 0.0000 0.3667
I2 0.0347 0.5173 0.8829
I3 0.1814 0.3629 0.1174
I4 0.3333 0.6667 0.6030

***

No. 11
# BaCoP2, relaxed, DFT GGA-PBE
# D(E_F): 2.6 states/eV/f.u.
# Energy relative to the lowest polymorph listed for this composition: 83 meV per atom
# Spin magnetization: 0.00 μB per cell
# Formation energy from the elements: -51 kJ per mole of atoms
data_BaCoP2
_chemical_formula_sum 'Ba2 Co2 P4'
_cell_length_a 3.844
_cell_length_b 6.443
_cell_length_c 7.376
_cell_angle_alpha 90.00
_cell_angle_beta 90.00
_cell_angle_gamma 90.00
_space_group_name_H-M_alt 'I m m m'
_space_group_IT_number 71
_space_group_name_Hall '-I 2 2'
loop_
_atom_site_label
_atom_site_fract_x
_atom_site_fract_y
_atom_site_fract_z
Ba1 0.000 0.000 0.000
Co1 0.000 0.000 0.500
P1 0.000 0.500 0.150

***

No. 12
# Tb5DyTl8, relaxed, DFT GGA-PBE
# D(E_F): 12.1 states/eV/f.u.
# Spin magnetization: 0.00 μB per cell
# Formation energy from the elements: -24 kJ per mole of atoms
data_Tb5DyTl8
_chemical_formula_sum 'Tb10 Dy2 Tl16'
_cell_length_a 9.303
_cell_length_b 9.303
_cell_length_c 9.281
_cell_angle_alpha 90.00
_cell_angle_beta 90.00
_cell_angle_gamma 90.00
_space_group_name_H-M_alt 'I -4'
_space_group_IT_number 82
_space_group_name_Hall 'I -4'
loop_
_atom_site_label
_atom_site_fract_x
_atom_site_fract_y
_atom_site_fract_z
Tb1 0.000 0.000 0.000
Tb2 0.124 0.248 0.376
Dy1 0.000 0.500 0.750
Tl1 0.081 0.333 0.043
Tl2 0.083 0.169 0.708

***

No. 13
# ZrInNiAu, relaxed, DFT GGA-PBE
# D(E_F): 2.1 states/eV/f.u.
# Spin magnetization: 0.00 μB per cell
# Formation energy from the elements: -37 kJ per mole of atoms
data_ZrInNiAu
_chemical_formula_sum 'Zr4 In4 Ni4 Au4'
_cell_length_a 6.608
_cell_length_b 6.608
_cell_length_c 6.608
_cell_angle_alpha 90.00
_cell_angle_beta 90.00
_cell_angle_gamma 90.00
_space_group_name_H-M_alt 'F -4 3 m'
_space_group_IT_number 216
_space_group_name_Hall 'F -4 2 3'
loop_
_atom_site_label
_atom_site_fract_x
_atom_site_fract_y
_atom_site_fract_z
Zr1 0.000 0.000 0.000
In1 0.000 0.000 0.500
Ni1 0.250 0.250 0.250
Au1 0.250 0.250 0.750

***

No. 14
# Pu3URu4, relaxed, DFT GGA-PBE
# D(E_F): 21.1 states/eV/f.u.
# Spin magnetization: 29.34 μB per cell
# Formation energy from the elements: -15 kJ per mole of atoms
data_Pu3URu4
_chemical_formula_sum 'Pu6 U2 Ru8'
_cell_length_a 13.578
_cell_length_b 4.852
_cell_length_c 4.913
_cell_angle_alpha 90.00
_cell_angle_beta 106.19
_cell_angle_gamma 90.00
_space_group_name_H-M_alt 'C 1 2/m 1'
_space_group_IT_number 12
_space_group_name_Hall '-C 2y'
loop_
_atom_site_label
_atom_site_fract_x
_atom_site_fract_y
_atom_site_fract_z
Pu1 0.000 0.000 0.000
Pu2 0.248 0.500 0.767
U1 0.000 0.500 0.500
Ru1 0.117 0.500 0.175
Ru2 0.121 0.000 0.599

***

No. 15
# Dy2CoSe, relaxed, DFT GGA-PBE
# D(E_F): 2.0 states/eV/f.u.
# Energy relative to the lowest polymorph listed for this composition: 205 meV per atom
# Spin magnetization: 0.63 μB per cell
# E_form (uncorrected): -0.7658 eV per atom
data_Dy2CoSe
_chemical_formula_sum 'Dy2 Co1 Se1'
_cell_length_a 3.458
_cell_length_b 3.458
_cell_length_c 7.063
_cell_angle_alpha 90.00
_cell_angle_beta 90.00
_cell_angle_gamma 90.00
_space_group_name_H-M_alt 'P 4/m m m'
_space_group_IT_number 123
_space_group_name_Hall '-P 4 2'
loop_
_atom_site_label
_atom_site_fract_x
_atom_site_fract_y
_atom_site_fract_z
Dy1 0.000 0.000 0.232
Co1 0.500 0.500 0.000
Se1 0.500 0.500 0.500

***

No. 16
# Tm3ThS4, relaxed, DFT GGA-PBE
# D(E_F): 3.3 states/eV/f.u.
# Spin magnetization: 0.00 μB per cell
# E_form (uncorrected): -1.8844 eV per atom
data_Tm3ThS4
_chemical_formula_sum 'Tm6 Th2 S8'
_cell_length_a 7.863
_cell_length_b 11.033
_cell_length_c 3.861
_cell_angle_alpha 90.00
_cell_angle_beta 90.00
_cell_angle_gamma 90.00
_space_group_name_H-M_alt 'C m m m'
_space_group_IT_number 65
_space_group_name_Hall '-C 2 2'
loop_
_atom_site_label
_atom_site_fract_x
_atom_site_fract_y
_atom_site_fract_z
Tm1 0.000 0.000 0.000
Tm2 0.250 0.250 0.500
Th1 0.000 0.500 0.000
S1 0.000 0.243 0.000
S2 0.236 0.000 0.500

***

No. 17
# MgSc4Rh3, relaxed, DFT GGA-PBE
# D(E_F): 5.6 states/eV/f.u.
# Spin magnetization: 0.00 μB per cell
# Formation energy from the elements: -71 kJ per mole of atoms
data_MgSc4Rh3
_chemical_formula_sum 'Mg1 Sc4 Rh3'
_cell_length_a 4.583
_cell_length_b 4.583
_cell_length_c 6.844
_cell_angle_alpha 90.00
_cell_angle_beta 90.00
_cell_angle_gamma 90.00
_space_group_name_H-M_alt 'P 4/m m m'
_space_group_IT_number 123
_space_group_name_Hall '-P 4 2'
loop_
_atom_site_label
_atom_site_fract_x
_atom_site_fract_y
_atom_site_fract_z
Mg1 0.000 0.000 0.000
Sc1 0.000 0.500 0.264
Rh1 0.000 0.000 0.500
Rh2 0.500 0.500 0.000
Rh3 0.500 0.500 0.500

***

No. 18
# GaBiIr2W, relaxed, DFT GGA-PBE
# D(E_F): 6.8 states/eV/f.u.
# Spin magnetization: 2.78 μB per cell
# Formation energy from the elements: 232 kJ per mole of atoms
data_GaBiIr2W
_chemical_formula_sum 'Ga1 Bi1 Ir2 W1'
_cell_length_a 4.991
_cell_length_b 4.991
_cell_length_c 5.061
_cell_angle_alpha 90.00
_cell_angle_beta 90.00
_cell_angle_gamma 90.00
_space_group_name_H-M_alt 'P 4/m m m'
_space_group_IT_number 123
_space_group_name_Hall '-P 4 2'
loop_
_atom_site_label
_atom_site_fract_x
_atom_site_fract_y
_atom_site_fract_z
Ga1 0.000 0.000 0.000
Bi1 0.000 0.000 0.500
Ir1 0.000 0.500 0.500
W1 0.500 0.500 0.000

***

No. 19
# Np4CrS8, relaxed, DFT GGA-PBE
# D(E_F): 30.3 states/eV/f.u.
# Spin magnetization: 35.24 μB per cell
# E_form (uncorrected): -1.0461 eV per atom
data_Np4CrS8
_chemical_formula_sum 'Np8 Cr2 S16'
_cell_length_a 9.011
_cell_length_b 9.011
_cell_length_c 6.904
_cell_angle_alpha 90.00
_cell_angle_beta 90.00
_cell_angle_gamma 90.00
_space_group_name_H-M_alt 'I 4/m m m'
_space_group_IT_number 139
_space_group_name_Hall '-I 4 2'
loop_
_atom_site_label
_atom_site_fract_x
_atom_site_fract_y
_atom_site_fract_z
Np1 0.250 0.250 0.250
Cr1 0.000 0.000 0.000
S1 0.000 0.250 0.500
S2 0.000 0.254 0.000

***

No. 20
# GaAuSe3, relaxed, DFT GGA-PBE
# D(E_F): 4.5 states/eV/f.u.
# Energy relative to the lowest polymorph listed for this composition: 0 meV per atom
# Spin magnetization: 0.00 μB per cell
# E_form (uncorrected): 0.4236 eV per atom
data_GaAuSe3
_chemical_formula_sum 'Ga1 Au1 Se3'
_cell_length_a 5.155
_cell_length_b 5.155
_cell_length_c 5.155
_cell_angle_alpha 90.00
_cell_angle_beta 90.00
_cell_angle_gamma 90.00
_space_group_name_H-M_alt 'P m -3 m'
_space_group_IT_number 221
_space_group_name_Hall '-P 4 2 3'
loop_
_atom_site_label
_atom_site_fract_x
_atom_site_fract_y
_atom_site_fract_z
Ga1 0.000 0.000 0.000
Au1 0.500 0.500 0.500
Se1 0.000 0.500 0.500

***

No. 21
# LiHfB, relaxed, DFT GGA-PBE
# D(E_F): 3.1 states/eV/f.u.
# Energy relative to the lowest polymorph listed for this composition: 1297 meV per atom
# Spin magnetization: 0.00 μB per cell
# Formation energy from the elements: 91 kJ per mole of atoms
data_LiHfB
_chemical_formula_sum 'Li2 Hf2 B2'
_cell_length_a 3.5491
_cell_length_b 3.5491
_cell_length_c 9.3296
_cell_angle_alpha 90.00
_cell_angle_beta 90.00
_cell_angle_gamma 120.00
_space_group_name_H-M_alt 'P 63/m m c'
_space_group_IT_number 194
_space_group_name_Hall '-P 6c 2c'
loop_
_atom_site_label
_atom_site_fract_x
_atom_site_fract_y
_atom_site_fract_z
Li1 0.3333 0.6667 0.2500
Hf1 0.0000 0.0000 0.0000
B1 0.0000 0.0000 0.2500

***

No. 22
# TlHg2Ru, relaxed, DFT GGA-PBE
# D(E_F): 2.1 states/eV/f.u.
# Energy relative to the lowest polymorph listed for this composition: 120 meV per atom
# Spin magnetization: 0.00 μB per cell
# Formation energy from the elements: 44 kJ per mole of atoms
data_TlHg2Ru
_chemical_formula_sum 'Tl1 Hg2 Ru1'
_cell_length_a 3.528
_cell_length_b 4.258
_cell_length_c 6.048
_cell_angle_alpha 90.00
_cell_angle_beta 106.87
_cell_angle_gamma 90.00
_space_group_name_H-M_alt 'P 1 m 1'
_space_group_IT_number 6
_space_group_name_Hall 'P -2y'
loop_
_atom_site_label
_atom_site_fract_x
_atom_site_fract_y
_atom_site_fract_z
Tl1 0.000 0.000 0.000
Hg1 0.281 0.000 0.555
Hg2 0.685 0.500 0.360
Ru1 0.436 0.500 0.873

***

No. 23
# TiGePd3, relaxed, DFT GGA-PBE
# D(E_F): 3.4 states/eV/f.u.
# Energy relative to the lowest polymorph listed for this composition: 922 meV per atom
# Spin magnetization: 0.00 μB per cell
# Formation energy from the elements: 48 kJ per mole of atoms
data_TiGePd3
_chemical_formula_sum 'Ti1 Ge1 Pd3'
_cell_length_a 4.677
_cell_length_b 4.677
_cell_length_c 4.677
_cell_angle_alpha 90.00
_cell_angle_beta 90.00
_cell_angle_gamma 90.00
_space_group_name_H-M_alt 'P m -3 m'
_space_group_IT_number 221
_space_group_name_Hall '-P 4 2 3'
loop_
_atom_site_label
_atom_site_fract_x
_atom_site_fract_y
_atom_site_fract_z
Ti1 0.000 0.000 0.000
Ge1 0.500 0.500 0.500
Pd1 0.000 0.000 0.500